Entry 1:
! Sm2P6O (PBE, optimized geometry); values from VASP
! * symmetry: Fm-3m, No. 225
&SYSTEM
  ibrav = 0, nat = 9, ntyp = 3
/
ATOMIC_SPECIES
Sm 150.36 Sm.upf
P 30.97 P.upf
O 16.00 O.upf
CELL_PARAMETERS angstrom
0.0000 4.2407 4.2407
4.2407 0.0000 4.2407
4.2407 4.2407 0.0000
ATOMIC_POSITIONS crystal
Sm 0.2500 0.2500 0.2500
Sm 0.7500 0.7500 0.7500
P 0.2371 0.2371 0.7629
P 0.2371 0.7629 0.2371
P 0.2371 0.7629 0.7629
P 0.7629 0.2371 0.2371
P 0.7629 0.2371 0.7629
P 0.7629 0.7629 0.2371
O 0.5000 0.5000 0.5000

Entry 2:
! Er2IBrN (PBE, optimized geometry); values from VASP
! * symmetry: P3m1, No. 156
&SYSTEM
  ibrav = 0, nat = 5, ntyp = 4
/
ATOMIC_SPECIES
Er 167.26 Er.upf
I 126.90 I.upf
Br 79.90 Br.upf
N 14.01 N.upf
CELL_PARAMETERS angstrom
3.6844 0.0000 0.0000
-1.8422 3.1908 0.0000
0.0000 0.0000 10.2130
ATOMIC_POSITIONS crystal
Er 0.0000 0.0000 0.0000
Er 0.3333 0.6667 0.7546
I 0.3333 0.6667 0.2107
Br 0.0000 0.0000 0.5674
N 0.6667 0.3333 0.8753

Entry 3:
! GdGa2 (PBE, optimized geometry); values from VASP
! * symmetry: Fd-3m, No. 227
&SYSTEM
  ibrav = 0, nat = 6, ntyp = 2
/
ATOMIC_SPECIES
Gd 157.25 Gd.upf
Ga 69.72 Ga.upf
CELL_PARAMETERS angstrom
0.0000 6.8099 6.8099
6.8099 0.0000 6.8099
6.8099 6.8099 0.0000
ATOMIC_POSITIONS crystal
Gd 0.1250 0.1250 0.1250
Gd 0.8750 0.8750 0.8750
Ga 0.0000 0.0000 0.0000
Ga 0.0000 0.0000 0.5000
Ga 0.0000 0.5000 0.0000
Ga 0.5000 0.0000 0.0000

Entry 4:
! HfFe2Sn (PBE, optimized geometry); values from VASP
! * symmetry: P4/mmm, No. 123
&SYSTEM
  ibrav = 0, nat = 4, ntyp = 3
/
ATOMIC_SPECIES
Hf 178.49 Hf.upf
Fe 55.84 Fe.upf
Sn 118.71 Sn.upf
CELL_PARAMETERS angstrom
3.1543 0.0000 0.0000
0.0000 3.1543 0.0000
0.0000 0.0000 6.0806
ATOMIC_POSITIONS crystal
Hf 0.0000 0.0000 0.0000
Fe 0.5000 0.5000 0.2502
Fe 0.5000 0.5000 0.7498
Sn 0.0000 0.0000 0.5000

Entry 5:
! CsTbAsO (PBE, optimized geometry); values from VASP
! * symmetry: P4/nmm, No. 129
&SYSTEM
  ibrav = 0, nat = 8, ntyp = 4
/
ATOMIC_SPECIES
Cs 132.91 Cs.upf
Tb 158.93 Tb.upf
As 74.92 As.upf
O 16.00 O.upf
CELL_PARAMETERS angstrom
6.0095 0.0000 0.0000
0.0000 6.0095 0.0000
0.0000 0.0000 5.5080
ATOMIC_POSITIONS crystal
Cs 0.2500 0.2500 0.0065
Cs 0.7500 0.7500 0.9935
Tb 0.2500 0.7500 0.5000
Tb 0.7500 0.2500 0.5000
As 0.2500 0.2500 0.5071
As 0.7500 0.7500 0.4929
O 0.2500 0.7500 0.0000
O 0.7500 0.2500 0.0000

Entry 6:
! Gd2YAs3 (PBE, optimized geometry); values from VASP
! * symmetry: P-3m1, No. 164
&SYSTEM
  ibrav = 0, nat = 6, ntyp = 3
/
ATOMIC_SPECIES
Gd 157.25 Gd.upf
Y 88.91 Y.upf
As 74.92 As.upf
CELL_PARAMETERS angstrom
4.1455 0.0000 0.0000
-2.0728 3.5901 0.0000
0.0000 0.0000 10.1395
ATOMIC_POSITIONS crystal
Gd 0.3333 0.6667 0.3326
Gd 0.6667 0.3333 0.6674
Y 0.0000 0.0000 0.0000
As 0.0000 0.0000 0.5000
As 0.3333 0.6667 0.8349
As 0.6667 0.3333 0.1651

Entry 7:
! Gd2Al17 (PBE, optimized geometry); values from VASP
! * symmetry: P6_3/mmc, No. 194
&SYSTEM
  ibrav = 0, nat = 38, ntyp = 2
/
ATOMIC_SPECIES
Gd 157.25 Gd.upf
Al 26.98 Al.upf
CELL_PARAMETERS angstrom
9.4262 0.0000 0.0000
-4.7131 8.1633 0.0000
0.0000 0.0000 9.0251
ATOMIC_POSITIONS crystal
Gd 0.0000 0.0000 0.2500
Gd 0.0000 0.0000 0.7500
Gd 0.3333 0.6667 0.2500
Gd 0.6667 0.3333 0.7500
Al 0.0000 0.5000 0.0000
Al 0.0000 0.5000 0.5000
Al 0.0379 0.3659 0.7500
Al 0.0379 0.6721 0.7500
Al 0.1642 0.3284 0.0236
Al 0.1642 0.3284 0.4764
Al 0.1642 0.8358 0.0236
Al 0.1642 0.8358 0.4764
Al 0.3284 0.1642 0.5236
Al 0.3284 0.1642 0.9764
Al 0.3279 0.3659 0.7500
Al 0.3279 0.9621 0.7500
Al 0.3333 0.6667 0.6024
Al 0.3333 0.6667 0.8976
Al 0.3659 0.0379 0.2500
Al 0.3659 0.3279 0.2500
Al 0.5000 0.0000 0.0000
Al 0.5000 0.0000 0.5000
Al 0.5000 0.5000 0.0000
Al 0.5000 0.5000 0.5000
Al 0.6341 0.6721 0.7500
Al 0.6341 0.9621 0.7500
Al 0.6667 0.3333 0.1024
Al 0.6667 0.3333 0.3976
Al 0.6721 0.0379 0.2500
Al 0.6721 0.6341 0.2500
Al 0.6716 0.8358 0.0236
Al 0.6716 0.8358 0.4764
Al 0.8358 0.1642 0.5236
Al 0.8358 0.1642 0.9764
Al 0.8358 0.6716 0.5236
Al 0.8358 0.6716 0.9764
Al 0.9621 0.3279 0.2500
Al 0.9621 0.6341 0.2500

Entry 8:
! NiH (PBE, optimized geometry); values from VASP
! * symmetry: Pmma, No. 51
&SYSTEM
  ibrav = 0, nat = 4, ntyp = 2
/
ATOMIC_SPECIES
Ni 58.69 Ni.upf
H 1.01 H.upf
CELL_PARAMETERS angstrom
4.3911 0.0000 0.0000
0.0000 2.4823 0.0000
0.0000 0.0000 2.4829
ATOMIC_POSITIONS crystal
Ni 0.2500 0.0000 0.2484
Ni 0.7500 0.0000 0.7516
H 0.2500 0.5000 0.7485
H 0.7500 0.5000 0.2515

Entry 9:
! NdSbAsPd2 (PBE, optimized geometry); values from VASP
! * symmetry: P4/nmm, No. 129
&SYSTEM
  ibrav = 0, nat = 10, ntyp = 4
/
ATOMIC_SPECIES
Nd 144.24 Nd.upf
Sb 121.76 Sb.upf
As 74.92 As.upf
Pd 106.42 Pd.upf
CELL_PARAMETERS angstrom
4.5762 0.0000 0.0000
0.0000 4.5762 0.0000
0.0000 0.0000 10.1055
ATOMIC_POSITIONS crystal
Nd 0.2500 0.2500 0.2369
Nd 0.7500 0.7500 0.7631
Sb 0.2500 0.2500 0.6360
Sb 0.7500 0.7500 0.3640
As 0.2500 0.7500 0.0000
As 0.7500 0.2500 0.0000
Pd 0.2500 0.2500 0.8934
Pd 0.2500 0.7500 0.5000
Pd 0.7500 0.2500 0.5000
Pd 0.7500 0.7500 0.1066

Entry 10:
! PuAlB (PBE, optimized geometry); values from VASP
! * excess energy over the best structure of this formula in the dataset: 0.000 eV per atom
! * symmetry: F-43m, No. 216
&SYSTEM
  ibrav = 0, nat = 3, ntyp = 3
/
ATOMIC_SPECIES
Pu 244.00 Pu.upf
Al 26.98 Al.upf
B 10.81 B.upf
CELL_PARAMETERS angstrom
0.0000 2.8696 2.8696
2.8696 0.0000 2.8696
2.8696 2.8696 0.0000
ATOMIC_POSITIONS crystal
Pu 0.0000 0.0000 0.0000
Al 0.5000 0.5000 0.5000
B 0.7500 0.7500 0.7500

Entry 11:
! TlNiAgMo (PBE, optimized geometry); values from VASP
! * symmetry: F-43m, No. 216
&SYSTEM
  ibrav = 0, nat = 4, ntyp = 4
/
ATOMIC_SPECIES
Tl 204.38 Tl.upf
Ni 58.69 Ni.upf
Ag 107.87 Ag.upf
Mo 95.94 Mo.upf
CELL_PARAMETERS angstrom
0.0000 3.2456 3.2456
3.2456 0.0000 3.2456
3.2456 3.2456 0.0000
ATOMIC_POSITIONS crystal
Tl 0.0000 0.0000 0.0000
Ni 0.2500 0.2500 0.2500
Ag 0.5000 0.5000 0.5000
Mo 0.7500 0.7500 0.7500

Entry 12:
! Bi2Pt5 (PBE, optimized geometry); values from VASP
! * symmetry: P-3m1, No. 164
&SYSTEM
  ibrav = 0, nat = 7, ntyp = 2
/
ATOMIC_SPECIES
Bi 208.98 Bi.upf
Pt 195.08 Pt.upf
CELL_PARAMETERS angstrom
3.1020 0.0000 0.0000
-1.5510 2.6864 0.0000
0.0000 0.0000 26.1918
ATOMIC_POSITIONS crystal
Bi 0.0000 0.0000 0.2448
Bi 0.0000 0.0000 0.7552
Pt 0.0000 0.0000 0.0000
Pt 0.3333 0.6667 0.1590
Pt 0.3333 0.6667 0.9218
Pt 0.6667 0.3333 0.0782
Pt 0.6667 0.3333 0.8410

Entry 13:
! LuMgAlFe (PBE, optimized geometry); values from VASP
! * excess energy over the best structure of this formula in the dataset: 0.000 eV per atom
! * symmetry: F-43m, No. 216
&SYSTEM
  ibrav = 0, nat = 4, ntyp = 4
/
ATOMIC_SPECIES
Lu 174.97 Lu.upf
Mg 24.30 Mg.upf
Al 26.98 Al.upf
Fe 55.84 Fe.upf
CELL_PARAMETERS angstrom
0.0000 3.2816 3.2816
3.2816 0.0000 3.2816
3.2816 3.2816 0.0000
ATOMIC_POSITIONS crystal
Lu 0.0000 0.0000 0.0000
Mg 0.2500 0.2500 0.2500
Al 0.5000 0.5000 0.5000
Fe 0.7500 0.7500 0.7500

Entry 14:
! ZnSnIr3 (PBE, optimized geometry); values from VASP
! * symmetry: Pm-3m, No. 221
&SYSTEM
  ibrav = 0, nat = 5, ntyp = 3
/
ATOMIC_SPECIES
Zn 65.41 Zn.upf
Sn 118.71 Sn.upf
Ir 192.22 Ir.upf
CELL_PARAMETERS angstrom
4.8470 0.0000 0.0000
0.0000 4.8470 0.0000
0.0000 0.0000 4.8470
ATOMIC_POSITIONS crystal
Zn 0.0000 0.0000 0.0000
Sn 0.5000 0.5000 0.5000
Ir 0.0000 0.5000 0.5000
Ir 0.5000 0.0000 0.5000
Ir 0.5000 0.5000 0.0000

Entry 15:
! Fe3B2W2 (PBE, optimized geometry); values from VASP
! * symmetry: R3m, No. 160
&SYSTEM
  ibrav = 0, nat = 7, ntyp = 3
/
ATOMIC_SPECIES
Fe 55.84 Fe.upf
B 10.81 B.upf
W 183.84 W.upf
CELL_PARAMETERS angstrom
1.9266 1.1123 6.2053
-1.9266 1.1123 6.2053
0.0000 -2.2246 6.2053
ATOMIC_POSITIONS crystal
Fe 0.0000 0.0000 0.0000
Fe 0.2521 0.2521 0.2521
Fe 0.7460 0.7460 0.7460
B 0.3802 0.3802 0.3802
B 0.8683 0.8683 0.8683
W 0.1289 0.1289 0.1289
W 0.6127 0.6127 0.6127

Entry 16:
! HfMgGa2 (PBE, optimized geometry); values from VASP
! * symmetry: F-43m, No. 216
&SYSTEM
  ibrav = 0, nat = 4, ntyp = 3
/
ATOMIC_SPECIES
Hf 178.49 Hf.upf
Mg 24.30 Mg.upf
Ga 69.72 Ga.upf
CELL_PARAMETERS angstrom
0.0000 3.3681 3.3681
3.3681 0.0000 3.3681
3.3681 3.3681 0.0000
ATOMIC_POSITIONS crystal
Hf 0.0000 0.0000 0.0000
Mg 0.7500 0.7500 0.7500
Ga 0.2500 0.2500 0.2500
Ga 0.5000 0.5000 0.5000

Entry 17:
! PrCdInTe3 (PBE, optimized geometry); values from VASP
! * excess energy over the best structure of this formula in the dataset: 0.000 eV per atom
! * symmetry: Pnma, No. 62
&SYSTEM
  ibrav = 0, nat = 24, ntyp = 4
/
ATOMIC_SPECIES
Pr 140.91 Pr.upf
Cd 112.41 Cd.upf
In 114.82 In.upf
Te 127.60 Te.upf
CELL_PARAMETERS angstrom
11.9662 0.0000 0.0000
0.0000 4.5386 0.0000
0.0000 0.0000 15.3092
ATOMIC_POSITIONS crystal
Pr 0.0167 0.2500 0.2428
Pr 0.4833 0.7500 0.7428
Pr 0.5167 0.2500 0.2572
Pr 0.9833 0.7500 0.7572
Cd 0.2363 0.2500 0.7194
Cd 0.2637 0.7500 0.2194
Cd 0.7363 0.2500 0.7806
Cd 0.7637 0.7500 0.2806
In 0.2181 0.7500 0.5098
In 0.2819 0.2500 0.0098
In 0.7181 0.7500 0.9902
In 0.7819 0.2500 0.4902
Te 0.0402 0.2500 0.6139
Te 0.0797 0.7500 0.1033
Te 0.2369 0.7500 0.8367
Te 0.2631 0.2500 0.3367
Te 0.4203 0.2500 0.6033
Te 0.4598 0.7500 0.1139
Te 0.5402 0.2500 0.8861
Te 0.5797 0.7500 0.3967
Te 0.7369 0.7500 0.6633
Te 0.7631 0.2500 0.1633
Te 0.9203 0.2500 0.8967
Te 0.9598 0.7500 0.3861

Entry 18:
! HoEr2Ga3CuAg2 (PBE, optimized geometry); values from VASP
! * symmetry: Amm2, No. 38
&SYSTEM
  ibrav = 0, nat = 9, ntyp = 5
/
ATOMIC_SPECIES
Ho 164.93 Ho.upf
Er 167.26 Er.upf
Ga 69.72 Ga.upf
Cu 63.55 Cu.upf
Ag 107.87 Ag.upf
CELL_PARAMETERS angstrom
3.7530 0.0000 0.0000
0.0000 6.4636 3.7266
0.0000 -6.4636 3.7266
ATOMIC_POSITIONS crystal
Ho 0.0000 0.0000 0.0000
Er 0.0000 0.3959 0.7910
Er 0.0000 0.7910 0.3959
Ga 0.5000 0.1482 0.3962
Ga 0.5000 0.3962 0.1482
Ga 0.5000 0.6437 0.6437
Cu 0.0000 0.3964 0.3964
Ag 0.5000 0.0630 0.7285
Ag 0.5000 0.7285 0.0630

Entry 19:
! TbGd2Mg3In3 (PBE, optimized geometry); values from VASP
! * symmetry: Amm2, No. 38
&SYSTEM
  ibrav = 0, nat = 9, ntyp = 4
/
ATOMIC_SPECIES
Tb 158.93 Tb.upf
Gd 157.25 Gd.upf
Mg 24.30 Mg.upf
In 114.82 In.upf
CELL_PARAMETERS angstrom
4.6948 0.0000 0.0000
0.0000 6.5310 3.7784
0.0000 -6.5310 3.7784
ATOMIC_POSITIONS crystal
Tb 0.0000 0.0000 0.0000
Gd 0.0000 0.4341 0.8684
Gd 0.0000 0.8684 0.4341
Mg 0.5000 0.1925 0.4340
Mg 0.5000 0.4340 0.1925
Mg 0.5000 0.6754 0.6754
In 0.0000 0.4332 0.4332
In 0.5000 0.1004 0.7679
In 0.5000 0.7679 0.1004

Entry 20:
! Pr3ZnHg2Pt2Au (PBE, optimized geometry); values from VASP
! * symmetry: Amm2, No. 38
! * formation energy from the elements: -7.096 eV/f.u.
&SYSTEM
  ibrav = 0, nat = 9, ntyp = 5
/
ATOMIC_SPECIES
Pr 140.91 Pr.upf
Zn 65.41 Zn.upf
Hg 200.59 Hg.upf
Pt 195.08 Pt.upf
Au 196.97 Au.upf
CELL_PARAMETERS angstrom
3.9820 0.0000 0.0000
0.0000 6.8251 3.8719
0.0000 -6.8251 3.8719
ATOMIC_POSITIONS crystal
Pr 0.0000 0.0000 0.0000
Pr 0.0000 0.4074 0.8164
Pr 0.0000 0.8164 0.4074
Zn 0.5000 0.6749 0.6749
Hg 0.5000 0.1480 0.4077
Hg 0.5000 0.4077 0.1480
Pt 0.5000 0.0564 0.7367
Pt 0.5000 0.7367 0.0564
Au 0.0000 0.4396 0.4396

Raw total energy in eV/cell, matching the order above: -49.36; -28.38; -13.52; -31.06; -36.66; -39.01; -150.27; -17.49; -56.50; -24.66; -18.89; -36.71; -17.99; -23.12; -62.45; -16.98; -90.06; -36.33; -30.45; -38.66